1.
A relaxed Y2SnIr crystal. Source: OQMD, functional PBE.

Computed properties:
DFT total energy ... -108.97 eV for the cell shown
Size of the total moment ... 0.04 μB/f.u.
Volume ... 349 Å³/cell
Mass density ... 9.3 g/cm³

Geometry as CIF:
```
data_Y2SnIr
_chemical_formula_sum 'Y8 Sn4 Ir4'
_cell_length_a 7.0375
_cell_length_b 7.0375
_cell_length_c 7.0375
_cell_angle_alpha 90.00
_cell_angle_beta 90.00
_cell_angle_gamma 90.00
_symmetry_space_group_name_H-M 'F -4 3 m'
_symmetry_Int_Tables_number 216
_symmetry_space_group_name_Hall 'F -4 2 3'
loop_
_atom_site_label
_atom_site_type_symbol
_atom_site_fract_x
_atom_site_fract_y
_atom_site_fract_z
Y1 Y 0.0000 0.0000 0.0000
Y2 Y 0.2500 0.2500 0.2500
Sn1 Sn 0.0000 0.0000 0.5000
Ir1 Ir 0.2500 0.2500 0.7500
```


2.
A relaxed YSn2Ir2 crystal. Source: OQMD, functional PBE.

Computed properties:
DFT total energy ... -68.81 eV for the cell shown
Size of the total moment ... 0.01 μB/f.u.
Volume ... 216 Å³/cell
Mass density ... 10.9 g/cm³

Geometry as CIF:
```
data_YSn2Ir2
_chemical_formula_sum 'Y2 Sn4 Ir4'
_cell_length_a 4.3721
_cell_length_b 4.3721
_cell_length_c 11.2845
_cell_angle_alpha 90.00
_cell_angle_beta 90.00
_cell_angle_gamma 90.00
_symmetry_space_group_name_H-M 'I 4/m m m'
_symmetry_Int_Tables_number 139
_symmetry_space_group_name_Hall '-I 4 2'
loop_
_atom_site_label
_atom_site_type_symbol
_atom_site_fract_x
_atom_site_fract_y
_atom_site_fract_z
Y1 Y 0.0000 0.0000 0.0000
Sn1 Sn 0.0000 0.5000 0.2500
Ir1 Ir 0.0000 0.0000 0.3893
```


3.
A relaxed Y6SnIr2 crystal. Source: OQMD, functional PBE.

Computed properties:
DFT total energy ... -65.20 eV for the cell shown
Size of the total moment ... 0.03 μB/f.u.
Volume ... 235 Å³/cell
Mass density ... 7.3 g/cm³

Geometry as CIF:
```
data_Y6SnIr2
_chemical_formula_sum 'Y6 Sn1 Ir2'
_cell_length_a 7.6841
_cell_length_b 7.6841
_cell_length_c 4.5877
_cell_angle_alpha 90.00
_cell_angle_beta 90.00
_cell_angle_gamma 120.00
_symmetry_space_group_name_H-M 'P -6 2 m'
_symmetry_Int_Tables_number 189
_symmetry_space_group_name_Hall 'P -6 -2'
loop_
_atom_site_label
_atom_site_type_symbol
_atom_site_fract_x
_atom_site_fract_y
_atom_site_fract_z
Y1 Y 0.0000 0.4163 0.0000
Y2 Y 0.0000 0.7250 0.5000
Sn1 Sn 0.0000 0.0000 0.0000
Ir1 Ir 0.3333 0.6667 0.5000
```


- What is the formula in the second record?
  YSn2Ir2


- What is the formula in the second record?
  YSn2Ir2